{
  "formula": "Ga2SbSe6",
  "functional": "PBE",
  "state": "optimized geometry",
  "sg": "C2/c (15)",
  "formation_energy_uncorrected_ev_per_fu": -2.33,
  "total_energy_ev_per_atom": -3.71,
  "cell": [[-0.409, 0.050, 7.171], [-6.954, -4.778, 1.292], [4.805, -6.772, 1.976]],
  "species": ["Ga", "Ga", "Ga", "Ga", "Sb", "Sb", "Se", "Se", "Se", "Se", "Se", "Se", "Se", "Se", "Se", "Se", "Se", "Se"],
  "fractional_positions": [[0.186, 0.592, 0.773], [0.314, 0.227, 0.408], [0.814, 0.408, 0.227], [0.686, 0.773, 0.592], [0.250, 0.097, 0.903], [0.750, 0.903, 0.097], [0.419, 0.644, 0.520], [0.081, 0.480, 0.356], [0.581, 0.356, 0.480], [0.919, 0.520, 0.644], [0.814, 0.944, 0.393], [0.686, 0.607, 0.056], [0.186, 0.056, 0.607], [0.314, 0.393, 0.944], [0.148, 0.792, 0.976], [0.352, 0.024, 0.208], [0.852, 0.208, 0.024], [0.648, 0.976, 0.792]]
}


{
  "formula": "Hf3Si2",
  "functional": "PBE",
  "state": "optimized geometry",
  "sg": "P4/mbm (127)",
  "formation_energy_uncorrected_ev_per_fu": -4.01,
  "total_energy_ev_per_atom": -8.94,
  "cell": [[7.025, 0.000, 0.000], [0.000, 7.025, 0.000], [0.000, 0.000, 3.669]],
  "species": ["Hf", "Hf", "Hf", "Hf", "Hf", "Hf", "Si", "Si", "Si", "Si"],
  "fractional_positions": [[0.826, 0.674, 0.500], [0.326, 0.826, 0.500], [0.174, 0.326, 0.500], [0.674, 0.174, 0.500], [0.500, 0.500, 0.000], [0.000, 0.000, 0.000], [0.124, 0.624, 0.000], [0.624, 0.876, 0.000], [0.376, 0.124, 0.000], [0.876, 0.376, 0.000]]
}